Record 1
LiInPd3 PBE relaxed; DOS at the Fermi energy = 0.555 states/eV/atom; volume = 15.9 Å³ per atom; energy of formation from the pure elements = -0.2151 eV per atom; polymorph energy (0 for the lowest one) = 0.296 eV per atom
1.0
6.183 0.000 0.000
-3.092 5.355 0.000
0.000 0.000 4.807
Li In Pd
2 2 6
Cartesian
0.000 0.000 0.000 Li
0.000 0.000 2.404 Li
0.000 3.570 1.202 In
3.092 1.785 3.606 In
0.000 1.998 3.606 Pd
-1.362 4.356 3.606 Pd
1.730 0.999 1.202 Pd
1.362 4.356 3.606 Pd
4.454 0.999 1.202 Pd
3.092 3.358 1.202 Pd

Record 2
Mg7Tl3Ag2 PBE relaxed; DOS at the Fermi energy = 0.463 states/eV/atom; volume = 23.6 Å³ per atom; energy of formation from the pure elements = 0.0282 eV per atom
1.0
2.543 -16.870 0.000
2.543 16.870 0.000
0.000 0.000 3.306
Mg Tl Ag
7 3 2
Cartesian
0.000 0.000 0.000 Mg
2.543 14.293 1.653 Mg
2.543 9.264 0.000 Mg
2.543 3.369 0.000 Mg
2.543 -3.369 0.000 Mg
2.543 -9.264 0.000 Mg
2.543 -14.293 1.653 Mg
2.543 6.308 1.653 Tl
2.543 0.000 1.653 Tl
2.543 -6.308 1.653 Tl
2.543 12.042 0.000 Ag
2.543 -12.042 0.000 Ag

Record 3
RbAuCl3 PBE relaxed; DOS at the Fermi energy = 0.356 states/eV/atom; volume = 31.7 Å³ per atom; energy relative to the elements, uncorrected = -969.6 meV/atom
1.0
5.054 -8.119 0.000
5.054 8.119 0.000
0.000 0.000 7.731
Rb Au Cl
4 4 12
Cartesian
2.527 2.620 1.933 Rb
2.527 -2.620 5.798 Rb
7.581 2.620 1.933 Rb
7.581 -2.620 5.798 Rb
5.054 6.452 2.342 Au
5.054 1.667 6.208 Au
5.054 -1.667 1.523 Au
5.054 -6.452 5.388 Au
5.054 7.545 6.023 Cl
2.527 1.843 5.798 Cl
5.054 4.353 3.389 Cl
5.054 3.766 7.254 Cl
2.527 -1.843 1.933 Cl
5.054 0.574 2.157 Cl
5.054 -0.574 5.574 Cl
7.581 1.843 5.798 Cl
5.054 -3.766 0.477 Cl
5.054 -4.353 4.342 Cl
7.581 -1.843 1.933 Cl
5.054 -7.545 1.708 Cl

Record 4
ZnHg2Br PBE relaxed; DOS at the Fermi energy = 0.211 states/eV/atom; volume = 26.8 Å³ per atom; energy relative to the elements, uncorrected = -54.2 meV/atom; polymorph energy (0 for the lowest one) = 0.131 eV per atom
1.0
3.966 0.000 0.000
0.000 6.429 0.000
0.000 0.000 8.400
Zn Hg Br
2 4 2
Cartesian
0.000 0.000 0.000 Zn
1.983 3.214 0.000 Zn
0.000 3.214 1.929 Hg
0.000 3.214 6.470 Hg
1.983 0.000 1.929 Hg
1.983 0.000 6.470 Hg
0.000 0.000 4.200 Br
1.983 3.214 4.200 Br

Record 5
Be3Nb3Si PBE relaxed; DOS at the Fermi energy = 0.581 states/eV/atom; volume = 13.2 Å³ per atom; energy relative to the elements, uncorrected = -356.5 meV/atom
1.0
4.646 -1.750 0.000
4.646 1.750 0.000
-4.013 0.000 11.355
Be Nb Si
6 6 2
Cartesian
-0.651 0.000 2.494 Be
0.622 0.000 0.847 Be
-1.020 0.000 6.133 Be
6.300 0.000 5.222 Be
4.658 0.000 10.508 Be
5.931 0.000 8.861 Be
-0.757 0.000 8.831 Nb
3.238 0.000 0.826 Nb
2.012 0.000 7.125 Nb
3.268 0.000 4.230 Nb
2.042 0.000 10.529 Nb
6.036 0.000 2.524 Nb
0.618 0.000 4.346 Si
4.662 0.000 7.009 Si

Record 6
Mg3Cd PBE relaxed; DOS at the Fermi energy = 0.344 states/eV/atom; volume = 22.2 Å³ per atom; energy of formation from the pure elements = -0.0527 eV per atom
1.0
3.400 0.000 0.000
0.000 4.074 0.000
-0.003 0.000 6.410
Mg Cd
3 1
Cartesian
0.000 0.000 0.000 Mg
1.690 2.037 4.782 Mg
1.708 2.037 1.628 Mg
-0.001 0.000 3.205 Cd

Record 7
NaCd5Pd3 PBE relaxed; DOS at the Fermi energy = 0.290 states/eV/atom; volume = 19.1 Å³ per atom; energy of formation from the pure elements = -0.2465 eV per atom
1.0
8.313 0.000 0.000
-4.156 7.199 0.000
0.000 0.000 5.750
Na Cd Pd
2 10 6
Cartesian
0.000 0.000 0.000 Na
0.000 0.000 2.875 Na
-1.362 2.360 1.438 Cd
-2.794 4.839 4.313 Cd
2.725 0.000 1.438 Cd
1.362 2.360 4.313 Cd
0.000 4.799 0.000 Cd
0.000 4.799 2.875 Cd
4.156 2.400 0.000 Cd
4.156 2.400 2.875 Cd
5.588 0.000 4.313 Cd
2.794 4.839 1.438 Cd
-1.422 2.463 4.313 Pd
-2.734 4.736 1.438 Pd
2.844 0.000 4.313 Pd
1.422 2.463 1.438 Pd
5.469 0.000 1.438 Pd
2.734 4.736 4.313 Pd

Record 8
PuZr5Zn4 PBE relaxed; DOS at the Fermi energy = 0.742 states/eV/atom; volume = 19.8 Å³ per atom; energy of formation from the pure elements = -0.1880 eV per atom
1.0
3.300 0.000 0.000
0.000 3.300 0.000
0.000 0.000 18.149
Pu Zr Zn
1 5 4
Cartesian
0.000 0.000 0.000 Pu
1.650 1.650 2.220 Zr
1.650 1.650 5.664 Zr
1.650 1.650 9.074 Zr
1.650 1.650 12.485 Zr
1.650 1.650 15.929 Zr
0.000 0.000 3.930 Zn
0.000 0.000 7.368 Zn
0.000 0.000 10.781 Zn
0.000 0.000 14.219 Zn